Compound: CsNbCuSe2S
Source: OQMD
Functional: PBE-GGA
Structure: relaxed

Cell lengths 8.343, 8.343, 9.800 Å; angles 90.00, 90.00, 154.06 degrees
Fractional coordinates of all 12 atoms:
1 Cs 0.241 0.759 0.750
2 Cs 0.759 0.241 0.250
3 Nb 0.500 0.500 0.000
4 Nb 0.500 0.500 0.500
5 Cu 0.030 0.970 0.250
6 Cu 0.970 0.030 0.750
7 Se 0.113 0.887 0.048
8 Se 0.113 0.887 0.452
9 Se 0.887 0.113 0.548
10 Se 0.887 0.113 0.952
11 S 0.448 0.552 0.250
12 S 0.552 0.448 0.750

Summary:
final energy	-5.09	eV per atom
spin magnetization	1.038	μB per cell